LaPrNd5Ho2 after structural relaxation. Source: Alexandria, functional PBE.

Output
Its space group is Cmc2_1 (36). The calculation puts the energy of formation from the pure elements at 0.145 eV per atom.

a b c (Å): 5.754 10.615 10.780
angles (deg): 90.00 90.00 105.73
Element x y z (fractional)
1 La 0.583 0.166 0.947
2 La 0.417 0.834 0.447
3 Pr 0.798 0.596 0.511
4 Pr 0.202 0.404 0.011
5 Nd 0.391 0.781 0.027
6 Nd 0.719 0.437 0.811
7 Nd 0.477 0.954 0.740
8 Nd 0.295 0.591 0.704
9 Nd 0.983 0.967 0.526
10 Nd 0.609 0.219 0.527
11 Nd 0.281 0.563 0.311
12 Nd 0.523 0.046 0.240
13 Nd 0.705 0.409 0.204
14 Nd 0.017 0.033 0.026
15 Ho 0.883 0.766 0.824
16 Ho 0.112 0.224 0.733
17 Ho 0.117 0.234 0.324
18 Ho 0.888 0.776 0.233